An optimized crystal structure of Mn3GeH2, computed with PBE.

Unit cell a=3.6248 b=3.6248 c=4.9215 alpha=111.61 beta=111.61 gamma=90.00
With the nearest neighbours (Å) after each atom.
Sites, in units of the cell vectors:
Mn  0.7500  0.2500  0.5000  4 H 1.84
Mn  0.5000  0.5000  0.0000  2 H 1.78
Mn  0.2500  0.7500  0.5000  4 H 1.84
Ge  0.0000  0.0000  0.0000  2 H 2.42, 4 Mn 2.56
H  0.7114  0.7114  0.4229  5 Mn 1.78-1.84
H  0.2886  0.2886  0.5771  5 Mn 1.78-1.84

* symmetry: No. 139
* uncorrected energy: -0.478 Ry per atom
* volume: 9.2 Å³ per atom